(1)
Here is a relaxed structure of La2ErNpAs4 from Alexandria via LeMat-Bulk. Energies are from PBE.

Output
Its crystal system is monoclinic. For the volume, the calculation gives 214.44 Å³ per cell. The magnetization comes out at 3.77 μB/cell. The value obtained for the uncorrected energy is -7.058 eV per atom. The formation energy is -1.31 eV per atom.

Lattice parameters (Å, degrees): 4.2297 7.3190 7.3403 109.32 90.00 90.00
Each line ends with the local moment (μB).
Element x y z (fractional)
La: 0.0000 0.5000 0.5000  0.02
La: 0.5000 0.0000 0.5000  0.03
Er: 0.5000 0.5000 0.0000  0.01
As: 0.0000 0.7457 0.2326  -0.04
As: 0.5000 0.2438 0.2322  -0.06
As: 0.0000 0.2543 0.7674  -0.04
As: 0.5000 0.7562 0.7678  -0.06
Np: 0.0000 0.0000 0.0000  3.65

***

(2)
Here is a relaxed structure of LaErAsO2 from Alexandria via LeMat-Bulk. Energies are from PBE.

Output
Its crystal system is orthorhombic. For the volume, the calculation gives 197.87 Å³ per cell. The magnetization comes out at 0.00 μB/cell. The value obtained for the uncorrected energy is -7.506 eV per atom.

Lattice parameters (Å, degrees): 5.4783 5.4955 7.1236 112.69 90.00 90.00
Element x y z (fractional)
As: 0.7500 0.7496 0.4992
As: 0.2500 0.2504 0.5008
La: 0.7500 0.4004 0.8009
La: 0.2500 0.5996 0.1991
O: 0.5000 0.2431 0.0000
O: 0.0000 0.2431 0.0000
O: 0.5000 0.7569 0.0000
O: 0.0000 0.7569 0.0000
Er: 0.7500 0.0818 0.1636
Er: 0.2500 0.9182 0.8364

***

(3)
Here is a relaxed structure of LaErAsP from Alexandria via LeMat-Bulk. Energies are from PBE.

Output
Its crystal system is trigonal. For the volume, the calculation gives 104.05 Å³ per cell. The magnetization comes out at 0.00 μB/cell. The value obtained for the uncorrected energy is -6.325 eV per atom. The formation energy is -1.44 eV per atom.

Lattice parameters (Å, degrees): 4.1129 4.1126 7.4891 90.00 105.94 120.00
Element x y z (fractional)
Er: 0.3106 0.5532 0.8792
La: 0.9606 0.3783 0.3542
P: 0.1245 0.9602 0.0999
As: 0.4822 0.1391 0.6365

***

(4)
Here is a relaxed structure of La4Er3PaAs8 from Alexandria via LeMat-Bulk. Energies are from PBE.

Output
Its crystal system is trigonal. For the volume, the calculation gives 426.47 Å³ per cell. The magnetization comes out at 0.00 μB/cell. The value obtained for the uncorrected energy is -6.494 eV per atom. The formation energy is -1.49 eV per atom.

Lattice parameters (Å, degrees): 8.4288 8.4693 8.4288 119.84 120.00 90.00
Element x y z (fractional)
As: 0.2553 0.2658 0.5105
As: 0.7469 0.7307 0.9888
As: 0.7581 0.2693 0.0112
As: 0.2420 0.7308 0.4840
As: 0.2419 0.7307 0.9888
As: 0.2531 0.2693 0.0112
As: 0.7580 0.2692 0.5160
As: 0.7447 0.7342 0.4895
Er: 0.0000 0.5000 0.5000
Er: 0.5000 0.5000 0.0000
Er: 0.5000 0.5000 0.5000
La: 0.0000 0.0000 0.0000
La: 0.0000 0.0000 0.5000
La: 0.5000 0.0000 0.0000
La: 0.5000 0.0000 0.5000
Pa: 0.0000 0.5000 0.0000

***

(5)
Here is a relaxed structure of LaEr2PaAs4 from Alexandria via LeMat-Bulk. Energies are from PBE.

Output
Its crystal system is monoclinic. For the volume, the calculation gives 202.42 Å³ per cell. The magnetization comes out at 0.52 μB/cell. The value obtained for the uncorrected energy is -6.666 eV per atom. The formation energy is -1.40 eV per atom.

Lattice parameters (Å, degrees): 4.1579 7.1441 7.2284 70.52 90.00 90.00
Each line ends with the local moment (μB).
Element x y z (fractional)
La: 0.5000 0.5000 0.0000  0.01
As: 0.0000 0.2412 0.2635  -0.01
As: 0.5000 0.2453 0.7432  -0.01
As: 0.0000 0.7588 0.7365  -0.01
As: 0.5000 0.7547 0.2568  -0.01
Er: 0.0000 0.0000 0.0000  0.02
Er: 0.5000 0.0000 0.5000  0.00
Pa: 0.0000 0.5000 0.5000  0.41

***

(6)
Here is a relaxed structure of La3Er2PaAs6 from Alexandria via LeMat-Bulk. Energies are from PBE.

Output
Its crystal system is monoclinic. For the volume, the calculation gives 319.47 Å³ per cell. The magnetization comes out at 0.00 μB/cell. The value obtained for the uncorrected energy is -6.583 eV per atom. The formation energy is -1.47 eV per atom.

Lattice parameters (Å, degrees): 7.2892 7.2892 7.3546 99.49 99.49 120.00
Element x y z (fractional)
Er: 0.3336 0.6664 0.0000
Er: 0.6664 0.3336 0.0000
La: 0.8321 0.1679 0.5000
La: 0.1679 0.8321 0.5000
La: 0.5000 0.5000 0.5000
As: 0.2519 0.2519 0.7688
As: 0.7481 0.7481 0.2312
As: 0.9231 0.5937 0.7688
As: 0.4063 0.0769 0.2312
As: 0.0769 0.4063 0.2312
As: 0.5937 0.9231 0.7688
Pa: 0.0000 0.0000 0.0000